[1]
Density functional theory data (PBE) for an optimized crystal structure of Zr2HN.

Cell: 5.1569 5.1569 8.8301 Å, 90.00 90.00 90.00°
Closest atoms and distances in Å follow each position.
Space group I-42d (No. 122)
Unique sites:
1 Zr 0.2464 0.2500 0.1250 x8  2 N 2.12, 2 H 2.14
2 H 0.0000 0.0000 0.5000 x4  4 Zr 2.14
3 N 0.0000 0.0000 0.0000 x4  4 Zr 2.12

Uncorrected energy in eV/atom: -7.972
Mass density in Mg/m³: 5.6

---

[2]
Density functional theory data (PBE) for an optimized crystal structure of Zr2HN2.

Cell: 4.4461 3.3718 8.4834 Å, 90.00 104.99 90.00°
Closest atoms and distances in Å follow each position.
Space group P2_1/m (No. 11)
Unique sites:
1 Zr 0.0997 0.2500 0.1955 x2  3 H 2.02-2.09, 2 N 2.23-2.24
2 Zr 0.3032 0.2500 0.6080 x2  6 N 2.17-2.42
3 H 0.0366 0.7500 0.0590 x2  2 H 1.94, 3 Zr 2.02-2.09
4 N 0.1990 0.7500 0.3963 x2  6 Zr 2.22-2.42
5 N 0.3860 0.7500 0.7750 x2  4 Zr 2.17-2.24

Uncorrected energy in eV/atom: -8.635
Mass density in Mg/m³: 5.7

---

[3]
Density functional theory data (PBE) for an optimized crystal structure of Zr4H2N.

Cell: 11.6731 3.2173 5.9459 Å, 90.00 116.90 90.00°
Closest atoms and distances in Å follow each position.
Space group C2/m (No. 12)
Unique sites:
1 Zr 0.1210 0.0000 0.2823 x4  1 N 2.31, 2 H 2.32
2 Zr 0.1242 0.5000 0.7582 x4  3 H 2.19-2.24, 2 N 2.24
3 H 0.2293 0.5000 0.1697 x4  5 Zr 2.19-2.32
4 N 0.0000 0.0000 0.5000 x2  6 Zr 2.24-2.31

Energy above the most stable polymorph in this dataset in meV/atom: 0
Mass density in Mg/m³: 6.4

---

[4]
Density functional theory data (PBE) for an optimized crystal structure of Zr6HN3.

Cell: 5.6794 5.6794 15.8781 Å, 90.00 90.00 120.00°
Closest atoms and distances in Å follow each position.
Space group R3 (No. 146, hexagonal axes)
Unique sites:
1 Zr 0.0003 0.6658 0.0000 x9  3 N 2.25-2.30, 1 H 2.38
2 Zr 0.0194 0.3385 0.1649 x9  3 N 2.29-2.31, 1 H 2.34
3 H 0.0000 0.0000 0.9095 x3  6 Zr 2.34-2.38
4 N 0.0000 0.0000 0.0816 x3  6 Zr 2.29-2.30
5 N 0.0000 0.0000 0.4101 x3  6 Zr 2.25-2.30
6 N 0.0000 0.0000 0.5875 x3  6 Zr 2.27-2.31

Uncorrected energy in eV/atom: -9.082
Mass density in Mg/m³: 6.6

---

Among the records above, which one has the lowest mass density?
Zr2HN

---

Look up the mass density of the fourth one.
6.6 Mg/m³

---

What is the formula in the fourth record?
Zr6HN3